The following is a GGA-PBE calculation of a relaxed structure of LiYCuSi2, from Alexandria via LeMat-Bulk.

Output
Crystal system ... tetragonal
Size of the total moment ... 0.000 μB per atom
ΔE_f (raw) ... -558 meV per atom

Unit cell a=5.869 b=5.869 c=5.869 alpha=140.36 beta=140.36 gamma=57.30
Positions (direct):
Li1 0.000 0.000 0.000
Y1 0.250 0.750 0.500
Cu1 0.500 0.500 0.000
Si1 0.636 0.136 0.500
Si2 0.864 0.364 0.500